HgIrOs2 | PBE | relaxed

Computed properties:
Formation energy in meV/atom: 377
Space group: P4mm (99)
E_tot in eV/atom: -7.53
Magnetization in μB/cell: 0.0
DOS(E_F) in states/eV/cell: 3.41

Cell and atoms, written as POSCAR:
```
HgIrOs2
1.0
2.8131 0.0000 0.0000
0.0000 2.8131 0.0000
0.0000 0.0000 8.0889
Hg Ir Os
1 1 2
direct
0.0000 0.0000 0.0000
0.5000 0.5000 0.2759
0.0000 0.0000 0.5072
0.5000 0.5000 0.7206
```